(1)
A geometry-optimized ErS8Cl2 structure, computed with PBE-GGA.

abc: 8.182 8.273 7.856
angles: 46.60 122.11 116.02
Fractional positions:
Er1 0.000 0.000 0.000
S1 0.181 0.015 0.769
S2 0.836 0.428 0.683
S3 0.977 0.213 0.502
S4 0.023 0.787 0.498
S5 0.164 0.572 0.317
S6 0.819 0.985 0.231
S7 0.428 0.518 0.570
S8 0.572 0.482 0.430
Cl1 0.273 0.281 0.052
Cl2 0.727 0.719 0.948

Properties
Uncorrected energy   -4.258 eV per atom
N(E_F)   3.779 states/eV/cell
Formation energy (no corrections)   -0.506 eV per atom

---

(2)
A geometry-optimized LiZrAl2 structure, computed with PBE-GGA.

abc: 4.144 4.144 4.070
angles: 90.00 90.00 90.00
Fractional positions:
Al1 0.000 0.000 0.000
Al2 0.500 0.500 0.000
Zr1 0.000 0.500 0.500
Li1 0.500 0.000 0.500

Properties
Energy of formation from the pure elements   -356 meV/atom
Uncorrected energy   -4.843 eV per atom
N(E_F)   1.500 states/eV/cell

---

(3)
A geometry-optimized AcBeZnAu3 structure, computed with PBE-GGA.

abc: 6.606 6.313 6.841
angles: 117.48 90.00 90.00
Fractional positions:
Ac1 0.750 0.280 0.560
Ac2 0.250 0.720 0.440
Be1 0.250 0.987 0.974
Be2 0.750 0.013 0.026
Zn1 0.250 0.389 0.777
Zn2 0.750 0.611 0.223
Au1 0.250 0.179 0.358
Au2 0.000 0.252 0.000
Au3 0.500 0.748 0.000
Au4 0.500 0.252 0.000
Au5 0.000 0.748 0.000
Au6 0.750 0.821 0.642

Properties
Energy of formation from the pure elements   -417 meV/atom
Uncorrected energy   -3.573 eV per atom
N(E_F)   5.505 states/eV/cell

---

(4)
A geometry-optimized LaAsOs4 structure, computed with PBE-GGA.

abc: 5.362 5.362 5.362
angles: 60.00 60.00 60.00
Fractional positions:
La1 0.000 0.000 0.000
As1 0.750 0.750 0.750
Os1 0.872 0.376 0.376
Os2 0.376 0.376 0.872
Os3 0.376 0.872 0.376
Os4 0.376 0.376 0.376

Properties
Energy of formation from the pure elements   451 meV/atom
Uncorrected energy   -8.631 eV per atom
N(E_F)   10.213 states/eV/cell

---

(5)
A geometry-optimized Pr8Bi2Pt structure, computed with PBE-GGA.

abc: 4.792 7.927 10.093
angles: 97.93 103.73 90.00
Fractional positions:
Pr1 0.406 0.492 0.813
Pr2 0.648 0.034 0.297
Pr3 0.787 0.646 0.574
Pr4 0.995 0.220 0.991
Pr5 0.213 0.354 0.426
Pr6 0.352 0.966 0.703
Pr7 0.594 0.508 0.187
Pr8 0.005 0.780 0.009
Bi1 0.817 0.231 0.635
Bi2 0.183 0.769 0.365
Pt1 0.500 0.000 0.000

Properties
Energy of formation from the pure elements   -491 meV/atom
Uncorrected energy   -5.221 eV per atom
N(E_F)   12.833 states/eV/cell

---

(6)
A geometry-optimized K3Cu2Br4 structure, computed with PBE-GGA.

abc: 8.519 9.072 9.072
angles: 57.23 93.35 93.35
Fractional positions:
K1 0.872 0.058 0.229
K2 0.628 0.771 0.942
K3 0.128 0.942 0.771
K4 0.372 0.229 0.058
K5 0.250 0.517 0.483
K6 0.750 0.483 0.517
Cu1 0.490 0.141 0.483
Cu2 0.010 0.517 0.859
Cu3 0.510 0.859 0.517
Cu4 0.990 0.483 0.141
Br1 0.517 0.820 0.264
Br2 0.983 0.736 0.180
Br3 0.483 0.180 0.736
Br4 0.017 0.264 0.820
Br5 0.177 0.243 0.344
Br6 0.323 0.656 0.757
Br7 0.823 0.757 0.656
Br8 0.677 0.344 0.243

Properties
Uncorrected energy   -2.999 eV per atom
N(E_F)   5.262 states/eV/cell
Formation energy (no corrections)   -0.979 eV per atom

---

(7)
A geometry-optimized HfTi2BiW structure, computed with PBE-GGA.

abc: 4.918 5.273 4.918
angles: 90.00 90.00 90.00
Fractional positions:
Hf1 0.000 0.500 0.000
Bi1 0.000 0.000 0.000
W1 0.500 0.500 0.500
Ti1 0.000 0.000 0.500
Ti2 0.500 0.000 0.000

Properties
Energy of formation from the pure elements   1843 meV/atom
Uncorrected energy   -6.673 eV per atom
N(E_F)   7.344 states/eV/cell

---

(8)
A geometry-optimized BaRhBr2 structure, computed with PBE-GGA.

abc: 4.193 4.514 6.296
angles: 71.58 90.00 90.00
Last column: magnetic moment on the atom in μB.
Fractional positions:
Rh1 0.500 0.250 0.250  0.76
Ba1 0.500 0.750 0.750  0.01
Br1 0.000 0.119 0.034  0.06
Br2 0.000 0.381 0.466  0.06

Properties
Uncorrected energy   -3.932 eV per atom
N(E_F)   0.350 states/eV/cell
Formation energy (no corrections)   -0.777 eV per atom
Energy relative to the lowest polymorph listed for this composition   110 meV per atom

---

no.,calculated density (g/cm3)
1,2.5
2,3.6
3,11.7
4,14.8
5,7.8
6,3.2
7,8.7
8,5.9